Material: ScPaFe2O6
Method: DFT, GGA+U
State: relaxed

Results
- Size of the total moment: 8.00 μB/f.u.
- Symmetry: P1, No. 1
- VASP energy: -8.356 eV/atom

Cell and atoms, written as POSCAR:
```
ScPaFe2O6
1.0
5.4702 0.0000 0.0000
2.7276 4.7487 0.0000
2.6632 1.5689 4.8920
Sc Pa Fe O
1 1 2 6
Cartesian
0.0000 0.0000 0.0000
5.4354 3.1444 2.4663
2.7349 1.5652 0.6002
8.1709 4.7915 3.0365
4.5695 4.6610 3.8776
3.5532 3.2759 1.4058
4.5389 1.7565 3.9733
6.6030 4.7381 1.5106
7.0802 3.1050 3.9174
6.2793 1.4149 1.4457
```